Entry 1:
Computed, not measured: PrPdI after structural relaxation at the GGA-PBE level of DFT.

Geometry as POSCAR:
```
PrPdI
1.0
-0.144 -4.419 -0.495
2.945 -2.573 2.121
-7.387 -1.093 9.491
Pd I Pr
2 2 2
Direct
0.334 0.334 0.472 Pd
0.666 0.666 0.528 Pd
0.680 0.680 0.167 I
0.320 0.320 0.833 I
0.006 0.006 0.341 Pr
0.994 0.994 0.659 Pr
```

Values from the calculation:
E_form (uncorrected)   -1.054 eV per atom
Total DFT energy (no corrections)   -29.37 eV per cell
Polymorph energy (0 for the lowest one)   0 meV per atom


Entry 2:
Computed, not measured: NaPm3Ag4 after structural relaxation at the GGA-PBE level of DFT.

Geometry as POSCAR:
```
NaPm3Ag4
1.0
5.011 0.000 1.479
2.287 4.459 1.479
0.044 0.027 9.080
Na Pm Ag
1 3 4
Direct
0.000 0.000 0.000 Na
0.254 0.254 0.239 Pm
0.746 0.746 0.761 Pm
0.500 0.500 0.500 Pm
0.378 0.378 0.867 Ag
0.129 0.129 0.612 Ag
0.622 0.622 0.133 Ag
0.871 0.871 0.388 Ag
```

Values from the calculation:
Energy relative to the elements   -0.189 eV/atom
Total DFT energy (no corrections)   -28.49 eV per cell


Entry 3:
Computed, not measured: SmPuTh14 after structural relaxation at the GGA-PBE level of DFT.

Geometry as POSCAR:
```
SmPuTh14
1.0
7.023 0.940 0.000
-0.944 7.022 0.000
0.000 0.000 10.122
Th Pu Sm
14 1 1
Direct
0.627 0.877 0.750 Th
0.375 0.625 0.500 Th
0.627 0.373 0.250 Th
0.875 0.625 0.000 Th
0.627 0.877 0.250 Th
0.123 0.373 0.250 Th
0.375 0.125 0.500 Th
0.375 0.125 0.000 Th
0.123 0.877 0.750 Th
0.123 0.373 0.750 Th
0.875 0.125 0.500 Th
0.627 0.373 0.750 Th
0.875 0.625 0.500 Th
0.123 0.877 0.250 Th
0.875 0.125 0.000 Pu
0.375 0.625 0.000 Sm
```

Values from the calculation:
Energy relative to the elements   0.048 eV/atom
Total DFT energy (no corrections)   -122.16 eV per cell


Entry 4:
Computed, not measured: HoIn9Pd2 after structural relaxation at the GGA-PBE level of DFT.

Geometry as POSCAR:
```
HoIn9Pd2
1.0
6.392 0.000 2.943
3.196 9.051 1.471
-0.589 0.000 9.693
In Pd Ho
18 4 2
Direct
0.963 0.703 0.945 In
0.787 0.797 0.555 In
0.093 0.945 0.297 In
0.093 0.297 0.945 In
0.416 0.445 0.797 In
0.611 0.055 0.297 In
0.657 0.203 0.555 In
0.657 0.555 0.203 In
0.139 0.203 0.445 In
0.334 0.055 0.703 In
0.750 0.500 0.500 In
0.000 0.000 0.000 In
0.139 0.445 0.203 In
0.787 0.555 0.797 In
0.334 0.703 0.055 In
0.963 0.945 0.703 In
0.611 0.297 0.055 In
0.416 0.797 0.445 In
0.875 0.250 0.750 Pd
0.875 0.250 0.250 Pd
0.375 0.750 0.750 Pd
0.875 0.750 0.250 Pd
0.500 0.000 0.000 Ho
0.250 0.500 0.500 Ho
```

Values from the calculation:
Energy relative to the elements   -0.160 eV/atom
Total DFT energy (no corrections)   -83.06 eV per cell


Entry 5:
Computed, not measured: Hf3Sc after structural relaxation at the GGA-PBE level of DFT.

Geometry as POSCAR:
```
Hf3Sc
1.0
-1.557 5.954 1.883
-4.569 -4.499 -0.551
0.729 -1.330 4.808
Hf Sc
6 2
Direct
0.167 0.833 0.250 Hf
0.666 0.833 0.250 Hf
0.334 0.167 0.750 Hf
0.167 0.334 0.250 Hf
0.833 0.167 0.750 Hf
0.833 0.666 0.750 Hf
0.667 0.333 0.250 Sc
0.333 0.667 0.750 Sc
```

Values from the calculation:
Energy relative to the elements   -0.007 eV/atom
Total DFT energy (no corrections)   -72.44 eV per cell
Polymorph energy (0 for the lowest one)   1 meV per atom


Entry 6:
Computed, not measured: PrTmSi3 after structural relaxation at the GGA-PBE level of DFT.

Geometry as POSCAR:
```
PrTmSi3
1.0
-2.262 -0.151 3.244
-0.219 -4.236 -0.350
10.191 1.021 7.153
Tm Si Pr
2 6 2
Direct
0.750 0.203 0.407 Tm
0.250 0.797 0.593 Tm
0.750 0.622 0.244 Si
0.250 0.474 0.949 Si
0.750 0.526 0.051 Si
0.250 0.680 0.361 Si
0.250 0.378 0.756 Si
0.750 0.320 0.639 Si
0.250 0.071 0.143 Pr
0.750 0.929 0.857 Pr
```

Values from the calculation:
E_form (uncorrected)   -0.689 eV per atom
Total DFT energy (no corrections)   -57.93 eV per cell